1.
TlCr2Re | PBE | relaxed

Cell: 3.732 2.952 6.477 Å, 62.86 90.00 90.00°
Fractional coordinates of all 4 atoms:
Tl 0.500 0.750 0.750
Cr 0.000 0.566 0.434
Cr 0.000 0.934 0.066
Re 0.500 0.250 0.250

Output
ΔE to the lowest computed polymorph in eV/atom: 0.0452
Total moment in μB per formula unit: 0.00
Formation enthalpy at 0 K in meV/atom: 517
Calculated density in Mg/m³: 12.932

=====

2.
AlTl2Zn | PBE | relaxed

Cell: 9.623 9.623 9.623 Å, 20.61 20.61 20.61°
Fractional coordinates of all 4 atoms:
Tl 0.008 0.008 0.008
Tl 0.240 0.240 0.240
Al 0.760 0.760 0.760
Zn 0.491 0.491 0.491

Output
Total moment in μB per formula unit: 0.00
Formation enthalpy at 0 K in meV/atom: 178
Calculated density in Mg/m³: 8.612

=====

3.
Al3NiAg | PBE | relaxed

Cell: 4.492 4.492 4.492 Å, 90.00 90.00 90.00°
Fractional coordinates of all 5 atoms:
Al 0.500 0.000 0.000
Al 0.000 0.500 0.000
Al 0.000 0.000 0.500
Ag 0.500 0.500 0.500
Ni 0.000 0.000 0.000

Output
ΔE to the lowest computed polymorph in eV/atom: 0.0000
Total moment in μB per formula unit: 0.00
Formation enthalpy at 0 K in meV/atom: -21
Calculated density in Mg/m³: 4.535

=====

4.
MnB2Pb | PBE | relaxed

Cell: 4.138 4.138 4.138 Å, 60.00 60.00 60.00°
Fractional coordinates of all 4 atoms:
Mn 0.000 0.000 0.000
B 0.250 0.250 0.250
B 0.750 0.750 0.750
Pb 0.500 0.500 0.500

Output
ΔE to the lowest computed polymorph in eV/atom: 1.0426
Total moment in μB per formula unit: 0.00
Formation enthalpy at 0 K in meV/atom: 1741
Calculated density in Mg/m³: 9.404

=====

5.
LiCaTc2 | PBE | relaxed

Cell: 9.995 9.995 9.995 Å, 16.73 16.73 16.73°
Fractional coordinates of all 4 atoms:
Tc 0.260 0.260 0.260
Tc 0.994 0.994 0.994
Ca 0.507 0.507 0.507
Li 0.739 0.739 0.739

Output
ΔE to the lowest computed polymorph in eV/atom: 0.2682
Total moment in μB per formula unit: 0.00
Formation enthalpy at 0 K in meV/atom: 490
Calculated density in Mg/m³: 5.591

=====

6.
SrMo2W | PBE | relaxed

Cell: 4.233 3.004 7.077 Å, 78.13 90.00 90.00°
Fractional coordinates of all 4 atoms:
Sr 0.500 0.250 0.250
Mo 0.000 0.021 0.911
Mo 0.000 0.479 0.589
W 0.500 0.750 0.750

Output
ΔE to the lowest computed polymorph in eV/atom: 0.0187
Total moment in μB per formula unit: 0.00
Formation enthalpy at 0 K in meV/atom: 722
Calculated density in Mg/m³: 8.737

=====

7.
SbRuPb2 | PBE | relaxed

Cell: 7.688 7.688 7.688 Å, 154.72 147.71 41.44°
Fractional coordinates of all 4 atoms:
Pb 0.577 0.577 0.000
Pb 0.923 0.923 0.000
Ru 0.750 0.250 0.500
Sb 0.250 0.750 0.500

Output
ΔE_f (raw) in kJ per mole of atoms: 17.90
Total moment in μB per formula unit: 0.00
Calculated density in Mg/m³: 10.232

=====

8.
Al2RhBr | PBE | relaxed

Cell: 4.838 4.839 2.943 Å, 90.00 90.00 90.22°
Fractional coordinates of all 4 atoms:
Al 0.000 0.000 0.000
Al 0.500 0.500 0.000
Rh 0.000 0.500 0.500
Br 0.500 0.000 0.500

Output
ΔE_f (raw) in kJ per mole of atoms: -3.81
ΔE to the lowest computed polymorph in eV/atom: 0.4750
Total moment in μB per formula unit: 0.00
Calculated density in Mg/m³: 5.707

=====

9.
UTi2Hg | PBE | relaxed

Cell: 3.084 4.931 4.931 Å, 90.00 90.00 90.00°
Site moments in Bohr magnetons follow the coordinates.
Fractional coordinates of all 4 atoms:
Ti 0.000 0.000 0.500  0.15
Ti 0.000 0.500 0.000  0.15
U 0.500 0.000 0.000  1.50
Hg 0.500 0.500 0.500  0.00

Output
ΔE to the lowest computed polymorph in eV/atom: 0.0000
Total moment in μB per formula unit: 1.92
Formation enthalpy at 0 K in meV/atom: 116
Calculated density in Mg/m³: 11.836

=====

10.
Cd2AuBr | PBE | relaxed

Cell: 3.448 3.448 8.195 Å, 90.00 90.00 90.00°
Fractional coordinates of all 4 atoms:
Cd 0.500 0.500 0.266
Cd 0.000 0.000 0.001
Au 0.000 0.000 0.447
Br 0.500 0.500 0.786

Output
ΔE_f (raw) in kJ per mole of atoms: -2.24
ΔE to the lowest computed polymorph in eV/atom: 0.2295
Total moment in μB per formula unit: 0.00
Calculated density in Mg/m³: 8.551

=====

11.
MgFeMo2 | PBE | relaxed

Cell: 4.402 4.402 4.402 Å, 60.00 60.00 60.00°
Site moments in Bohr magnetons follow the coordinates.
Fractional coordinates of all 4 atoms:
Mg 0.250 0.250 0.250  -0.01
Mo 0.750 0.750 0.750  -0.33
Mo 0.000 0.000 0.000  0.50
Fe 0.500 0.500 0.500  1.92

Output
Total moment in μB per formula unit: 2.07
Formation enthalpy at 0 K in meV/atom: 345
Calculated density in Mg/m³: 7.487

=====

12.
Ac2TlP3Rh12 | PBE | relaxed

Cell: 7.419 7.419 7.419 Å, 68.66 68.66 68.66°
Fractional coordinates of all 18 atoms:
Rh 0.859 0.859 0.386
Rh 0.911 0.331 0.331
Rh 0.669 0.089 0.669
Rh 0.331 0.911 0.331
Rh 0.614 0.141 0.141
Rh 0.859 0.386 0.859
Rh 0.141 0.141 0.614
Rh 0.141 0.614 0.141
Rh 0.669 0.669 0.089
Rh 0.089 0.669 0.669
Rh 0.331 0.331 0.911
Rh 0.386 0.859 0.859
P 0.000 0.000 0.500
P 0.000 0.500 0.000
P 0.500 0.000 0.000
Ac 0.396 0.396 0.396
Ac 0.604 0.604 0.604
Tl 0.000 0.000 0.000

Output
Total moment in μB per formula unit: 0.00
Formation enthalpy at 0 K in meV/atom: -180
Calculated density in Mg/m³: 9.660

=====

13.
SbIr | PBE | relaxed

Cell: 3.965 3.965 3.013 Å, 90.00 90.00 120.00°
Fractional coordinates of all 2 atoms:
Ir 0.000 0.000 0.000
Sb 0.667 0.333 0.500

Output
ΔE_f (raw) in kJ per mole of atoms: 15.91
Total moment in μB per formula unit: 0.00
Calculated density in Mg/m³: 12.710

=====

14.
Rb2BTe | PBE | relaxed

Cell: 5.545 5.545 11.750 Å, 76.35 76.35 90.00°
Site moments in Bohr magnetons follow the coordinates.
Fractional coordinates of all 8 atoms:
Rb 0.157 0.625 0.250  0.02
Rb 0.375 0.407 0.750  0.02
Rb 0.593 0.125 0.250  0.02
Rb 0.875 0.843 0.750  0.02
B 0.500 0.500 0.000  0.34
B 0.250 0.750 0.500  0.34
Te 0.750 0.250 0.500  0.00
Te 0.000 0.000 0.000  0.00

Output
ΔE_f (raw) in kJ per mole of atoms: 72.75
ΔE to the lowest computed polymorph in eV/atom: 0.1644
Total moment in μB per formula unit: 1.00
Calculated density in Mg/m³: 3.016

=====

15.
Sm6Sb3H | PBE | relaxed

Cell: 6.427 9.627 9.627 Å, 105.11 90.00 90.00°
Fractional coordinates of all 20 atoms:
H 0.079 0.227 0.773
H 0.579 0.773 0.227
Sm 0.001 0.081 0.919
Sm 0.225 0.455 0.904
Sm 0.737 0.275 0.725
Sm 0.172 0.351 0.264
Sm 0.672 0.649 0.736
Sm 0.725 0.545 0.096
Sm 0.501 0.919 0.081
Sm 0.172 0.736 0.649
Sm 0.672 0.264 0.351
Sm 0.225 0.096 0.545
Sm 0.237 0.725 0.275
Sm 0.725 0.904 0.455
Sb 0.512 0.242 0.031
Sb 0.512 0.969 0.758
Sb 0.012 0.758 0.969
Sb 0.852 0.587 0.413
Sb 0.352 0.413 0.587
Sb 0.012 0.031 0.242

Output
DFT total energy in eV/atom: -5.07
Total moment in μB per formula unit: 0.00
Calculated density in Mg/m³: 7.325

=====

16.
BaScMnSn2 | PBE | relaxed

Cell: 5.100 5.321 5.100 Å, 90.00 90.00 90.00°
Fractional coordinates of all 5 atoms:
Sn 0.500 0.000 0.000
Sn 0.000 0.000 0.500
Sc 0.500 0.500 0.500
Ba 0.000 0.500 0.000
Mn 0.000 0.000 0.000

Output
Total moment in μB per formula unit: 0.00
Formation enthalpy at 0 K in meV/atom: 365
Calculated density in Mg/m³: 5.694

=====

17.
NaHgH2Pd4 | PBE | relaxed

Cell: 3.827 3.827 9.017 Å, 90.00 90.00 90.00°
Fractional coordinates of all 8 atoms:
Pd 0.000 0.500 0.766
Pd 0.000 0.500 0.234
Pd 0.500 0.000 0.766
Pd 0.500 0.000 0.234
Hg 0.000 0.000 0.000
H 0.500 0.500 0.258
H 0.500 0.500 0.742
Na 0.000 0.000 0.500

Output
DFT total energy in eV/atom: -3.70
Total moment in μB per formula unit: 0.00
Calculated density in Mg/m³: 8.189

=====

18.
LiTb6Al2 | PBE | relaxed

Cell: 4.999 7.295 8.764 Å, 114.59 106.57 90.00°
Fractional coordinates of all 9 atoms:
Li 0.000 0.000 0.000
Tb 0.168 0.420 0.336
Tb 0.832 0.580 0.664
Tb 0.168 0.915 0.336
Tb 0.500 0.258 0.000
Tb 0.832 0.085 0.664
Tb 0.500 0.742 0.000
Al 0.333 0.333 0.666
Al 0.667 0.667 0.334

Output
Total moment in μB per formula unit: 0.00
Formation enthalpy at 0 K in meV/atom: 152
Calculated density in Mg/m³: 6.106

=====

19.
CaZnHg2 | PBE | relaxed

Cell: 5.077 5.077 5.077 Å, 60.00 60.00 60.00°
Fractional coordinates of all 4 atoms:
Zn 0.750 0.750 0.750
Hg 0.250 0.250 0.250
Hg 0.000 0.000 0.000
Ca 0.500 0.500 0.500

Output
Total moment in μB per formula unit: 0.00
Formation enthalpy at 0 K in meV/atom: -248
Calculated density in Mg/m³: 9.093

=====

20.
ScPdPt2Au | PBE | relaxed

Cell: 4.920 4.615 4.920 Å, 90.00 90.00 90.00°
Fractional coordinates of all 5 atoms:
Au 0.500 0.500 0.500
Pt 0.500 0.000 0.000
Pt 0.000 0.000 0.500
Pd 0.000 0.000 0.000
Sc 0.000 0.500 0.000

Output
Total moment in μB per formula unit: 0.00
Formation enthalpy at 0 K in meV/atom: 536
Calculated density in Mg/m³: 10.980